Record 1
Material: Y12Ni6Pt
Method: DFT, GGA-PBE
State: optimized geometry

Properties
**DOS(E_F)**: 26.08 states/eV/f.u.
**DFT formation energy**: -0.38 eV per atom

Unit cell a=8.332 b=8.332 c=8.332 alpha=109.47 beta=109.47 gamma=109.47
Element x y z (fractional)
1 Y 0.114 0.816 0.298
2 Y 0.518 0.816 0.702
3 Y 0.702 0.886 0.184
4 Pt 0.000 0.000 0.000
5 Y 0.298 0.114 0.816
6 Ni 0.375 0.500 0.875
7 Y 0.184 0.702 0.886
8 Y 0.298 0.482 0.184
9 Y 0.816 0.298 0.114
10 Ni 0.625 0.500 0.125
11 Y 0.482 0.184 0.298
12 Ni 0.500 0.875 0.375
13 Ni 0.125 0.625 0.500
14 Y 0.886 0.184 0.702
15 Ni 0.500 0.125 0.625
16 Ni 0.875 0.375 0.500
17 Y 0.702 0.518 0.816
18 Y 0.816 0.702 0.518
19 Y 0.184 0.298 0.482


Record 2
Material: SiSb2Cl
Method: DFT, GGA-PBE
State: optimized geometry

Properties
**DOS(E_F)**: 2.58 states/eV/f.u.
**Formation energy (no corrections)**: 0.168 eV/atom
**Excess energy over the best structure of this formula in the dataset**: 134 meV per atom

Unit cell a=8.375 b=8.375 c=8.375 alpha=27.98 beta=27.98 gamma=27.98
Element x y z (fractional)
1 Si 0.506 0.506 0.506
2 Sb 0.979 0.979 0.979
3 Sb 0.234 0.234 0.234
4 Cl 0.781 0.781 0.781


Record 3
Material: LiAsHOs
Method: DFT, GGA-PBE
State: optimized geometry

Properties
**DOS(E_F)**: 1.12 states/eV/f.u.
**Excess energy over the best structure of this formula in the dataset**: 192 meV per atom

Unit cell a=4.243 b=3.231 c=8.086 alpha=90.00 beta=120.46 gamma=90.00
Element x y z (fractional)
1 As 0.767 0.000 0.146
2 Li 0.476 0.500 0.845
3 Os 0.055 0.000 0.921
4 H 0.261 0.500 0.298
5 Li 0.476 0.000 0.345
6 Os 0.055 0.500 0.421
7 As 0.767 0.500 0.646
8 H 0.261 0.000 0.798


Record 4
Material: Y2V2Fe
Method: DFT, GGA-PBE
State: optimized geometry

Properties
**DOS(E_F)**: 5.55 states/eV/f.u.
**DFT formation energy**: 0.29 eV per atom

Unit cell a=6.202 b=6.202 c=4.985 alpha=90.00 beta=90.00 gamma=90.00
Each line ends with the local moment (μB).
Element x y z (fractional)
1 Fe 0.000 0.000 0.000  -0.42
2 V 0.355 0.855 0.000  0.65
3 Fe 0.500 0.500 0.000  -0.42
4 Y 0.326 0.174 0.500  -0.04
5 V 0.855 0.645 0.000  0.65
6 Y 0.674 0.826 0.500  -0.04
7 V 0.145 0.355 0.000  0.65
8 V 0.645 0.145 0.000  0.65
9 Y 0.826 0.326 0.500  -0.04
10 Y 0.174 0.674 0.500  -0.04


Record 5
Material: Tb4Sb2PSe
Method: DFT, GGA-PBE
State: optimized geometry

Properties
**DOS(E_F)**: 1.58 states/eV/f.u.
**Formation energy (no corrections)**: -1.431 eV/atom

Unit cell a=4.220 b=7.357 c=7.318 alpha=70.78 beta=90.00 gamma=90.00
Element x y z (fractional)
1 Sb 0.500 0.000 0.500
2 P 0.000 0.500 0.500
3 Tb 0.000 0.735 0.746
4 Tb 0.500 0.270 0.736
5 Tb 0.000 0.265 0.254
6 Tb 0.500 0.730 0.264
7 Sb 0.000 0.000 0.000
8 Se 0.500 0.500 0.000


Record 6
Material: La5Pm4Sc
Method: DFT, GGA-PBE
State: optimized geometry

Properties
**DOS(E_F)**: 16.50 states/eV/f.u.
**Excess energy over the best structure of this formula in the dataset**: 0 meV per atom
**DFT formation energy**: 0.03 eV per atom

Unit cell a=3.711 b=3.711 c=25.200 alpha=90.00 beta=90.00 gamma=90.00
Element x y z (fractional)
1 La 0.500 0.500 0.294
2 La 0.500 0.500 0.500
3 Pm 0.000 0.000 0.808
4 Pm 0.000 0.000 0.192
5 La 0.500 0.500 0.910
6 Sc 0.000 0.000 0.000
7 Pm 0.000 0.000 0.603
8 La 0.500 0.500 0.090
9 La 0.500 0.500 0.706
10 Pm 0.000 0.000 0.397


Record 7
Material: CeSb3S6
Method: DFT, GGA-PBE
State: optimized geometry

Properties
**DOS(E_F)**: 5.26 states/eV/f.u.
**Formation energy (no corrections)**: -0.553 eV/atom
**Excess energy over the best structure of this formula in the dataset**: 139 meV per atom

Unit cell a=4.065 b=8.290 c=8.290 alpha=110.06 beta=90.00 gamma=90.00
Each line ends with the local moment (μB).
Element x y z (fractional)
1 S 0.500 0.648 0.352  -0.02
2 Sb 0.500 0.500 0.000  0.00
3 Sb 0.500 0.000 0.500  0.00
4 S 0.000 0.340 0.101  -0.01
5 Sb 0.000 0.000 0.000  0.01
6 S 0.000 0.899 0.660  -0.01
7 S 0.000 0.101 0.340  -0.01
8 S 0.000 0.660 0.899  -0.01
9 Ce 0.000 0.500 0.500  0.47
10 S 0.500 0.352 0.648  -0.02


Record 8
Material: Pr4Dy5Al
Method: DFT, GGA-PBE
State: optimized geometry

Properties
**DOS(E_F)**: 13.48 states/eV/f.u.
**Excess energy over the best structure of this formula in the dataset**: 130 meV per atom
**DFT formation energy**: 0.07 eV per atom

Unit cell a=5.741 b=8.144 c=8.144 alpha=82.86 beta=69.36 gamma=69.36
Element x y z (fractional)
1 Dy 0.783 0.000 0.363
2 Dy 0.146 0.000 0.637
3 Pr 0.767 0.690 0.690
4 Dy 0.783 0.363 0.000
5 Pr 0.457 0.310 0.690
6 Al 0.169 0.000 0.000
7 Dy 0.146 0.637 0.000
8 Pr 0.148 0.310 0.310
9 Pr 0.457 0.690 0.310
10 Dy 0.654 0.000 0.000


Record 9
Material: Sc3Cd2Ga
Method: DFT, GGA-PBE
State: optimized geometry

Properties
**DOS(E_F)**: 5.99 states/eV/f.u.
**DFT formation energy**: -0.40 eV per atom

Unit cell a=3.441 b=3.441 c=10.658 alpha=90.00 beta=90.00 gamma=90.00
Element x y z (fractional)
1 Cd 0.500 0.500 0.172
2 Sc 0.000 0.000 0.652
3 Cd 0.500 0.500 0.828
4 Ga 0.500 0.500 0.500
5 Sc 0.000 0.000 0.348
6 Sc 0.000 0.000 0.000


Record 10
Material: Sm12Ga6Bi
Method: DFT, GGA-PBE
State: optimized geometry

Properties
**DOS(E_F)**: 17.85 states/eV/f.u.
**DFT formation energy**: -0.41 eV per atom

Unit cell a=8.952 b=8.952 c=8.952 alpha=109.47 beta=109.47 gamma=109.47
Element x y z (fractional)
1 Ga 0.879 0.379 0.500
2 Ga 0.500 0.121 0.621
3 Ga 0.621 0.500 0.121
4 Sm 0.487 0.189 0.298
5 Sm 0.811 0.702 0.513
6 Sm 0.298 0.487 0.189
7 Sm 0.189 0.702 0.891
8 Sm 0.298 0.109 0.811
9 Sm 0.109 0.811 0.298
10 Bi 0.000 0.000 0.000
11 Sm 0.513 0.811 0.702
12 Sm 0.702 0.891 0.189
13 Sm 0.891 0.189 0.702
14 Sm 0.189 0.298 0.487
15 Ga 0.500 0.879 0.379
16 Ga 0.121 0.621 0.500
17 Sm 0.702 0.513 0.811
18 Ga 0.379 0.500 0.879
19 Sm 0.811 0.298 0.109


Record 11
Material: CoBiP2S
Method: DFT, GGA-PBE
State: optimized geometry

Properties
**DOS(E_F)**: 4.04 states/eV/f.u.
**Formation energy (no corrections)**: 0.318 eV/atom
**Excess energy over the best structure of this formula in the dataset**: 0 meV per atom

Unit cell a=4.300 b=4.300 c=5.061 alpha=90.00 beta=90.00 gamma=90.00
Element x y z (fractional)
1 Co 0.000 0.000 0.000
2 S 0.000 0.000 0.500
3 Bi 0.500 0.500 0.500
4 P 0.500 0.000 0.000
5 P 0.000 0.500 0.000


Record 12
Material: Ca2WSe
Method: DFT, GGA-PBE
State: optimized geometry

Properties
**DOS(E_F)**: 3.12 states/eV/f.u.
**Formation energy (no corrections)**: 0.063 eV/atom

Unit cell a=3.369 b=3.369 c=8.730 alpha=90.00 beta=90.00 gamma=90.00
Element x y z (fractional)
1 Ca 0.000 0.000 0.940
2 Ca 0.500 0.500 0.319
3 W 0.500 0.500 0.685
4 Se 0.000 0.000 0.557


Record 13
Material: ZrSnSeN2
Method: DFT, GGA-PBE
State: optimized geometry

Properties
**DOS(E_F)**: 1.98 states/eV/f.u.
**Formation energy (no corrections)**: 0.119 eV/atom
**Excess energy over the best structure of this formula in the dataset**: 0 meV per atom

Unit cell a=4.211 b=4.211 c=5.591 alpha=90.00 beta=90.00 gamma=90.00
Each line ends with the local moment (μB).
Element x y z (fractional)
1 N 0.500 0.000 0.000  0.29
2 Zr 0.000 0.000 0.000  -0.05
3 N 0.000 0.500 0.000  0.29
4 Se 0.000 0.000 0.500  0.02
5 Sn 0.500 0.500 0.500  -0.01


Record 14
Material: Ac4PtPb2
Method: DFT, GGA-PBE
State: optimized geometry

Properties
**DOS(E_F)**: 6.38 states/eV/f.u.
**Excess energy over the best structure of this formula in the dataset**: 126 meV per atom
**DFT formation energy**: -0.54 eV per atom

Unit cell a=5.643 b=5.643 c=9.829 alpha=106.68 beta=106.68 gamma=90.00
Element x y z (fractional)
1 Ac 0.000 0.500 0.000
2 Pb 0.366 0.366 0.733
3 Ac 0.179 0.179 0.358
4 Pt 0.000 0.000 0.000
5 Ac 0.500 0.000 0.000
6 Pb 0.634 0.634 0.267
7 Ac 0.821 0.821 0.642


Record 15
Material: Tm5Cu4Tc
Method: DFT, GGA-PBE
State: optimized geometry

Properties
**DOS(E_F)**: 6.48 states/eV/f.u.
**DFT formation energy**: -0.24 eV per atom

Unit cell a=3.398 b=3.398 c=17.216 alpha=90.00 beta=90.00 gamma=90.00
Element x y z (fractional)
1 Tm 0.500 0.500 0.096
2 Tm 0.500 0.500 0.500
3 Cu 0.000 0.000 0.600
4 Tm 0.500 0.500 0.299
5 Tm 0.500 0.500 0.701
6 Tc 0.000 0.000 0.000
7 Tm 0.500 0.500 0.904
8 Cu 0.000 0.000 0.802
9 Cu 0.000 0.000 0.400
10 Cu 0.000 0.000 0.198


Record 16
Material: CdCl2
Method: DFT, GGA-PBE
State: optimized geometry

Properties
**DOS(E_F)**: 0.00 states/eV/f.u.
**Formation energy (no corrections)**: -0.750 eV/atom

Unit cell a=13.956 b=13.956 c=13.956 alpha=166.12 beta=166.12 gamma=19.67
Element x y z (fractional)
1 Cd 0.000 0.000 0.000
2 Cl 0.442 0.442 0.000
3 Cl 0.192 0.692 0.500
4 Cl 0.558 0.558 0.000
5 Cl 0.308 0.808 0.500
6 Cd 0.750 0.250 0.500


Record 17
Material: CoAsSe2N
Method: DFT, GGA-PBE
State: optimized geometry

Properties
**DOS(E_F)**: 7.45 states/eV/f.u.
**Formation energy (no corrections)**: 1.464 eV/atom
**Excess energy over the best structure of this formula in the dataset**: 1042 meV per atom

Unit cell a=4.571 b=4.571 c=4.481 alpha=90.00 beta=90.00 gamma=90.00
Element x y z (fractional)
1 As 0.000 0.000 0.500
2 Se 0.500 0.000 0.000
3 Co 0.000 0.000 0.000
4 N 0.500 0.500 0.500
5 Se 0.000 0.500 0.000


Record 18
Material: PaAlHg2O6
Method: DFT, GGA-PBE
State: optimized geometry

Properties
**Formation energy (no corrections)**: -2.032 eV/atom

Unit cell a=5.575 b=5.575 c=5.802 alpha=61.29 beta=61.29 gamma=60.00
Element x y z (fractional)
1 Hg 0.572 0.572 0.283
2 Hg 0.060 0.060 0.820
3 Pa 0.816 0.816 0.552
4 O 0.550 0.177 0.285
5 O 0.988 0.550 0.285
6 O 0.455 0.645 0.818
7 Al 0.316 0.316 0.052
8 O 0.645 0.082 0.818
9 O 0.177 0.988 0.285
10 O 0.082 0.455 0.818


Record 19
Material: Sc4Bi3H
Method: DFT, GGA-PBE
State: optimized geometry

Properties
**DOS(E_F)**: 4.75 states/eV/f.u.
**Raw total energy**: -5.32 eV/atom

Unit cell a=5.899 b=8.039 c=9.023 alpha=90.00 beta=90.00 gamma=90.00
Element x y z (fractional)
1 Sc 0.587 0.096 0.500
2 Bi 0.585 0.360 0.738
3 H 0.930 0.147 0.000
4 Sc 0.084 0.273 0.818
5 Bi 0.088 0.202 0.500
6 Sc 0.584 0.727 0.318
7 Sc 0.087 0.904 0.000
8 Bi 0.585 0.360 0.262
9 Bi 0.085 0.640 0.762
10 Sc 0.571 0.158 0.000
11 Bi 0.085 0.640 0.238
12 Bi 0.588 0.798 0.000
13 Sc 0.071 0.842 0.500
14 Sc 0.084 0.273 0.182
15 Sc 0.584 0.727 0.682
16 H 0.430 0.853 0.500


Record 20
Material: AlSn2Pt9
Method: DFT, GGA-PBE
State: optimized geometry

Properties
**DOS(E_F)**: 6.88 states/eV/f.u.
**DFT formation energy**: -0.51 eV per atom

Unit cell a=4.012 b=4.012 c=12.051 alpha=90.00 beta=90.00 gamma=90.00
Element x y z (fractional)
1 Pt 0.500 0.000 0.157
2 Pt 0.500 0.000 0.500
3 Sn 0.000 0.000 0.672
4 Pt 0.000 0.500 0.157
5 Pt 0.500 0.500 0.330
6 Pt 0.500 0.000 0.843
7 Pt 0.500 0.500 0.000
8 Pt 0.500 0.500 0.670
9 Pt 0.000 0.500 0.500
10 Pt 0.000 0.500 0.843
11 Sn 0.000 0.000 0.328
12 Al 0.000 0.000 0.000


Record 21
Material: Li3Ag2P3
Method: DFT, GGA-PBE
State: optimized geometry

Properties
**DOS(E_F)**: 2.86 states/eV/f.u.
**Excess energy over the best structure of this formula in the dataset**: 9 meV per atom
**DFT formation energy**: -0.13 eV per atom

Unit cell a=5.672 b=5.672 c=7.567 alpha=90.00 beta=90.00 gamma=90.00
Element x y z (fractional)
1 Li 0.500 0.500 0.500
2 P 0.750 0.750 0.750
3 Li 0.500 0.000 0.000
4 Ag 0.500 0.000 0.500
5 Ag 0.000 0.000 0.000
6 Li 0.000 0.000 0.500
7 Ag 0.500 0.500 0.000
8 Ag 0.000 0.500 0.500
9 P 0.750 0.750 0.250
10 P 0.250 0.250 0.750
11 Li 0.000 0.500 0.000
12 P 0.750 0.250 0.750
13 P 0.250 0.750 0.250
14 Li 0.250 0.750 0.750
15 P 0.250 0.250 0.250
16 Li 0.750 0.250 0.250


Record 22
Material: CsMnSeN2
Method: DFT, GGA-PBE
State: optimized geometry

Properties
**DOS(E_F)**: 6.85 states/eV/f.u.
**Formation energy (no corrections)**: 2.867 eV/atom
**Excess energy over the best structure of this formula in the dataset**: 1917 meV per atom

Unit cell a=4.171 b=4.171 c=7.179 alpha=90.00 beta=90.00 gamma=90.00
Each line ends with the local moment (μB).
Element x y z (fractional)
1 N 0.500 0.000 0.000  -0.12
2 N 0.000 0.500 0.000  -0.12
3 Se 0.000 0.000 0.500  0.09
4 Mn 0.500 0.500 0.500  -0.17
5 Cs 0.000 0.000 0.000  0.01


Record 23
Material: AgMoRh2
Method: DFT, GGA-PBE
State: optimized geometry

Properties
**DOS(E_F)**: 5.84 states/eV/f.u.
**Excess energy over the best structure of this formula in the dataset**: 475 meV per atom
**DFT formation energy**: 0.45 eV per atom

Unit cell a=4.441 b=4.441 c=4.441 alpha=60.00 beta=60.00 gamma=60.00
Element x y z (fractional)
1 Rh 0.000 0.000 0.000
2 Rh 0.750 0.750 0.750
3 Mo 0.250 0.250 0.250
4 Ag 0.500 0.500 0.500